[1]
Crystalline Nd4Sm2In at its relaxed geometry. Source: Alexandria via LeMat-Bulk, functional GGA-PBE.

- calculated total energy (eV/atom) = -4.526
- ΔE_f (eV per atom) = -0.06
- excess energy over the best structure of this formula in the dataset (eV per atom) = 0.035

a = 3.6989 Å, b = 3.6989 Å, c = 20.1684 Å
α = 84.74°, β = 84.74°, γ = 60.00°
With the nearest neighbours (Å) after each atom.
Atoms (fractional coordinates):
1 Nd 0.7094 0.7094 0.8718  3 In 3.34, 9 Nd 3.70
2 Nd 0.0930 0.0930 0.7209  3 Sm 3.66, 9 Nd 3.70
3 Sm 0.1909 0.1909 0.4273  9 Sm 3.61-3.70, 3 Nd 3.66
4 Nd 0.2906 0.2906 0.1282  3 In 3.34, 9 Nd 3.70
5 Sm 0.8091 0.8091 0.5727  9 Sm 3.61-3.70, 3 Nd 3.66
6 Nd 0.9070 0.9070 0.2791  3 Sm 3.66, 9 Nd 3.70
7 In 0.0000 0.0000 0.0000  6 Nd 3.34, 6 In 3.70

[2]
Crystalline Nd2Sm3In4 at its relaxed geometry. Source: Alexandria via LeMat-Bulk, functional GGA-PBE.

- calculated total energy (eV/atom) = -4.140
- ΔE_f (eV per atom) = -0.29
- excess energy over the best structure of this formula in the dataset (eV per atom) = 0.122

a = 7.2274 Å, b = 9.3979 Å, c = 9.0275 Å
α = 90.00°, β = 113.60°, γ = 90.00°
With the nearest neighbours (Å) after each atom.
Atoms (fractional coordinates):
1 Sm 0.0294 0.7500 0.5588  5 In 3.13-3.26
2 Sm 0.9706 0.2500 0.4412  5 In 3.13-3.26
3 In 0.8138 0.0325 0.6275  5 Sm 3.10-3.26
4 In 0.1862 0.9675 0.3725  5 Sm 3.10-3.26
5 Nd 0.8920 0.4297 0.7840  5 In 3.37-3.74, 2 Sm 3.76
6 In 0.2806 0.2500 0.0613  3 Sm 3.01-3.14
7 Sm 0.5000 0.5000 0.0000  6 In 3.01-3.10
8 In 0.7806 0.2500 0.0613  3 Sm 3.01-3.14
9 Nd 0.6080 0.9297 0.2160  5 In 3.37-3.74, 2 Sm 3.76
10 In 0.3138 0.4675 0.6275  5 Sm 3.10-3.26
11 Nd 0.1080 0.5703 0.2160  5 In 3.37-3.74, 2 Sm 3.76
12 Sm 0.4706 0.2500 0.4412  5 In 3.13-3.26
13 Nd 0.3920 0.0703 0.7840  5 In 3.37-3.74, 2 Sm 3.76
14 In 0.2194 0.7500 0.9387  3 Sm 3.01-3.14
15 Sm 0.5294 0.7500 0.5588  5 In 3.13-3.26
16 In 0.7194 0.7500 0.9387  3 Sm 3.01-3.14
17 In 0.6862 0.5325 0.3725  5 Sm 3.10-3.26
18 Sm 0.0000 0.0000 0.0000  6 In 3.01-3.10

[3]
Crystalline NdSm8In2 at its relaxed geometry. Source: Alexandria via LeMat-Bulk, functional GGA-PBE.

- calculated total energy (eV/atom) = -4.425
- ΔE_f (eV per atom) = -0.06

a = 6.6373 Å, b = 8.7284 Å, c = 8.7284 Å
α = 46.17°, β = 99.69°, γ = 99.69°
With the nearest neighbours (Å) after each atom.
Atoms (fractional coordinates):
1 Sm 0.8141 0.2100 0.2100  2 In 3.21-3.53, 3 Sm 3.42-3.45
2 In 0.6946 0.7544 0.7544  7 Sm 3.17-3.53
3 Nd 0.0000 0.0000 0.0000  10 Sm 3.41-3.80
4 Sm 0.1859 0.7900 0.7900  2 In 3.21-3.53, 3 Sm 3.42-3.45
5 In 0.3054 0.2456 0.2456  7 Sm 3.17-3.53
6 Sm 0.5878 0.1659 0.6398  2 In 3.17-3.28, 3 Sm 3.24-3.52, 1 Nd 3.41
7 Sm 0.0916 0.4115 0.4115  1 In 3.24, 2 Sm 3.29-3.42
8 Sm 0.5878 0.6398 0.1659  2 In 3.17-3.28, 3 Sm 3.24-3.52, 1 Nd 3.41
9 Sm 0.4122 0.8341 0.3602  2 In 3.17-3.28, 3 Sm 3.24-3.52, 1 Nd 3.41
10 Sm 0.4122 0.3602 0.8341  2 In 3.17-3.28, 3 Sm 3.24-3.52, 1 Nd 3.41
11 Sm 0.9084 0.5885 0.5885  1 In 3.24, 2 Sm 3.29-3.42

[4]
Crystalline Nd6Sm3In at its relaxed geometry. Source: Alexandria via LeMat-Bulk, functional GGA-PBE.

- calculated total energy (eV/atom) = -4.552
- ΔE_f (eV per atom) = 0.00
- excess energy over the best structure of this formula in the dataset (eV per atom) = 0.004

a = 6.4574 Å, b = 11.5990 Å, c = 11.5990 Å
α = 129.53°, β = 90.00°, γ = 90.00°
With the nearest neighbours (Å) after each atom.
Atoms (fractional coordinates):
1 Nd 0.8366 0.5334 0.0978  2 Sm 3.29-3.37, 4 Nd 3.44-3.65, 1 In 3.64
2 Sm 0.0826 0.4151 0.5849  5 Nd 3.24-3.61, 2 Sm 3.47
3 Sm 0.9856 0.7042 0.9613  5 Nd 3.29-3.65, 2 Sm 3.31-3.47, 1 In 3.35
4 Sm 0.4856 0.2958 0.0387  5 Nd 3.29-3.65, 2 Sm 3.31-3.47, 1 In 3.35
5 Nd 0.8366 0.9022 0.4666  2 Sm 3.29-3.37, 4 Nd 3.44-3.65, 1 In 3.64
6 Sm 0.9856 0.0387 0.2958  5 Nd 3.29-3.65, 2 Sm 3.31-3.47, 1 In 3.35
7 Nd 0.5568 0.6257 0.7424  3 Sm 3.46-3.61, 3 Nd 3.60-3.64, 1 In 3.73
8 In 0.5424 0.8448 0.1552  2 Nd 3.24-3.28, 2 Sm 3.35
9 Nd 0.3366 0.4666 0.9022  2 Sm 3.29-3.37, 4 Nd 3.44-3.65, 1 In 3.64
10 Sm 0.5826 0.5849 0.4151  5 Nd 3.24-3.61, 2 Sm 3.47
11 Nd 0.0568 0.3743 0.2576  3 Sm 3.46-3.61, 3 Nd 3.60-3.64, 1 In 3.73
12 In 0.0424 0.1552 0.8448  2 Nd 3.24-3.28, 2 Sm 3.35
13 Nd 0.8155 0.0174 0.9826  1 In 3.24, 4 Nd 3.31-3.60, 2 Sm 3.57
14 Nd 0.5568 0.2576 0.3743  3 Sm 3.46-3.61, 3 Nd 3.60-3.64, 1 In 3.73
15 Nd 0.2869 0.7095 0.2905  1 Sm 3.24, 1 In 3.28, 4 Nd 3.44-3.49
16 Sm 0.4856 0.9613 0.7042  5 Nd 3.29-3.65, 2 Sm 3.31-3.47, 1 In 3.35
17 Nd 0.0568 0.7424 0.6257  3 Sm 3.46-3.61, 3 Nd 3.60-3.64, 1 In 3.73
18 Nd 0.7869 0.2905 0.7095  1 Sm 3.24, 1 In 3.28, 4 Nd 3.44-3.49
19 Nd 0.3155 0.9826 0.0174  1 In 3.24, 4 Nd 3.31-3.60, 2 Sm 3.57
20 Nd 0.3366 0.0978 0.5334  2 Sm 3.29-3.37, 4 Nd 3.44-3.65, 1 In 3.64

[5]
Crystalline Nd3Sm4In4 at its relaxed geometry. Source: Alexandria via LeMat-Bulk, functional GGA-PBE.

- calculated total energy (eV/atom) = -4.316
- ΔE_f (eV per atom) = -0.30

a = 3.7640 Å, b = 9.6305 Å, c = 10.9084 Å
α = 116.19°, β = 99.93°, γ = 90.00°
With the nearest neighbours (Å) after each atom.
Atoms (fractional coordinates):
1 Nd 0.9034 0.9034 0.8067  6 In 3.20-3.39
2 Sm 0.3356 0.5209 0.6711  4 In 3.27-3.29, 1 Sm 3.57
3 In 0.5000 0.7799 0.0000  2 Sm 3.29, 6 Nd 3.29-3.39
4 Sm 0.6644 0.4791 0.3289  4 In 3.27-3.29, 1 Sm 3.57
5 Nd 0.0000 0.5000 0.0000  4 In 3.29
6 Sm 0.6644 0.8498 0.3289  4 In 3.27-3.29, 1 Sm 3.57
7 Nd 0.0966 0.0966 0.1933  6 In 3.20-3.39
8 In 0.7316 0.2316 0.4633  2 Nd 3.20, 6 Sm 3.27-3.29
9 In 0.2684 0.7684 0.5367  2 Nd 3.20, 6 Sm 3.27-3.29
10 Sm 0.3356 0.1502 0.6711  4 In 3.27-3.29, 1 Sm 3.57
11 In 0.5000 0.2201 0.0000  2 Sm 3.29, 6 Nd 3.29-3.39

[6]
Crystalline Nd2Sm3In2 at its relaxed geometry. Source: Alexandria via LeMat-Bulk, functional GGA-PBE.

- calculated total energy (eV/atom) = -4.438
- ΔE_f (eV per atom) = -0.27

a = 4.6812 Å, b = 8.0168 Å, c = 17.6973 Å
α = 159.86°, β = 97.60°, γ = 90.00°
With the nearest neighbours (Å) after each atom.
Atoms (fractional coordinates):
1 In 0.5724 0.5111 0.1448  6 Sm 3.32-3.71, 5 Nd 3.44-3.65
2 Sm 0.7301 0.5712 0.4601  4 In 3.32-3.71, 5 Sm 3.40-3.61, 3 Nd 3.48-3.55
3 Nd 0.1343 0.4664 0.2686  3 Nd 3.35-3.61, 5 In 3.44-3.65, 4 Sm 3.48-3.62
4 Nd 0.8657 0.5336 0.7314  3 Nd 3.35-3.61, 5 In 3.44-3.65, 4 Sm 3.48-3.62
5 In 0.4276 0.4889 0.8552  6 Sm 3.32-3.71, 5 Nd 3.44-3.65
6 Sm 0.0000 0.5000 0.0000  4 In 3.39, 6 Sm 3.40-3.61, 2 Nd 3.62
7 Sm 0.2699 0.4288 0.5399  4 In 3.32-3.71, 5 Sm 3.40-3.61, 3 Nd 3.48-3.55

[7]
Crystalline Nd4Sm3In2 at its relaxed geometry. Source: Alexandria via LeMat-Bulk, functional GGA-PBE.

- calculated total energy (eV/atom) = -4.515
- ΔE_f (eV per atom) = -0.21
- excess energy over the best structure of this formula in the dataset (eV per atom) = 0.000

a = 4.8764 Å, b = 6.1434 Å, c = 10.6268 Å
α = 73.69°, β = 76.74°, γ = 66.62°
With the nearest neighbours (Å) after each atom.
Atoms (fractional coordinates):
1 In 0.3384 0.1047 0.2186  5 Sm 3.46-3.54, 7 Nd 3.51-3.54
2 Nd 0.3302 0.4499 0.8896  4 Nd 3.44-3.47, 4 In 3.51-3.54, 4 Sm 3.53-3.60
3 Nd 0.9915 0.3429 0.6742  3 Nd 3.44-3.66, 6 Sm 3.51-3.59, 3 In 3.51-3.52
4 Sm 0.0000 0.0000 0.0000  4 In 3.46, 8 Nd 3.51-3.53
5 Sm 0.6730 0.2078 0.4462  3 Sm 3.40-3.70, 3 In 3.52-3.54, 6 Nd 3.55-3.60
6 Nd 0.0085 0.6571 0.3258  3 Nd 3.44-3.66, 6 Sm 3.51-3.59, 3 In 3.51-3.52
7 Nd 0.6698 0.5501 0.1104  4 Nd 3.44-3.47, 4 In 3.51-3.54, 4 Sm 3.53-3.60
8 In 0.6616 0.8953 0.7814  5 Sm 3.46-3.54, 7 Nd 3.51-3.54
9 Sm 0.3270 0.7922 0.5538  3 Sm 3.40-3.70, 3 In 3.52-3.54, 6 Nd 3.55-3.60

[8]
Crystalline Nd3Sm7In at its relaxed geometry. Source: Alexandria via LeMat-Bulk, functional GGA-PBE.

- calculated total energy (eV/atom) = -4.460
- ΔE_f (eV per atom) = 0.09

a = 8.7015 Å, b = 7.1048 Å, c = 7.1048 Å
α = 120.00°, β = 90.00°, γ = 90.00°
With the nearest neighbours (Å) after each atom.
Atoms (fractional coordinates):
1 In 0.4480 0.3333 0.6667  9 Sm 3.46-3.55, 3 Nd 3.55
2 Sm 0.1251 0.6629 0.8314  1 In 3.46, 8 Sm 3.48-3.59, 2 Nd 3.63
3 Sm 0.1118 0.6667 0.3333  3 Nd 3.54, 9 Sm 3.54-3.55
4 Sm 0.4461 0.3380 0.1690  7 Sm 3.48-3.60, 2 In 3.55, 2 Nd 3.55
5 Nd 0.7805 0.4998 0.5002  5 Sm 3.54-3.63, 1 In 3.55, 4 Nd 3.55-3.56
6 Sm 0.4461 0.8310 0.6620  7 Sm 3.48-3.60, 2 In 3.55, 2 Nd 3.55
7 Nd 0.7805 0.4998 0.9997  5 Sm 3.54-3.63, 1 In 3.55, 4 Nd 3.55-3.56
8 Sm 0.4461 0.8310 0.1690  7 Sm 3.48-3.60, 2 In 3.55, 2 Nd 3.55
9 Nd 0.7805 0.0003 0.5002  5 Sm 3.54-3.63, 1 In 3.55, 4 Nd 3.55-3.56
10 Sm 0.1251 0.1686 0.3371  1 In 3.46, 8 Sm 3.48-3.59, 2 Nd 3.63
11 Sm 0.1251 0.1686 0.8314  1 In 3.46, 8 Sm 3.48-3.59, 2 Nd 3.63

[9]
Crystalline NdSm6In5 at its relaxed geometry. Source: Alexandria via LeMat-Bulk, functional GGA-PBE.

- calculated total energy (eV/atom) = -4.277
- ΔE_f (eV per atom) = -0.38
- excess energy over the best structure of this formula in the dataset (eV per atom) = 0.014

a = 10.0162 Å, b = 5.1574 Å, c = 8.3293 Å
α = 71.97°, β = 80.84°, γ = 59.06°
With the nearest neighbours (Å) after each atom.
Atoms (fractional coordinates):
1 In 0.0000 0.3516 0.2968  8 Sm 3.32-3.56, 2 Nd 3.49
2 In 0.0000 0.6484 0.7032  8 Sm 3.32-3.56, 2 Nd 3.49
3 In 0.5000 0.8288 0.3424  8 Sm 3.27-3.36, 2 In 3.59
4 Sm 0.7497 0.0777 0.3454  7 In 3.27-3.56, 1 Nd 3.48, 2 Sm 3.56
5 Sm 0.2729 0.2269 0.0000  6 In 3.23-3.34, 2 Nd 3.48-3.49
6 Sm 0.2503 0.5769 0.3454  7 In 3.27-3.56, 1 Nd 3.48, 2 Sm 3.56
7 Nd 0.0000 0.0000 0.0000  8 Sm 3.48-3.49, 4 In 3.49
8 In 0.5000 0.1712 0.6576  8 Sm 3.27-3.36, 2 In 3.59
9 Sm 0.7271 0.7731 0.0000  6 In 3.23-3.34, 2 Nd 3.48-3.49
10 Sm 0.7497 0.4231 0.6546  7 In 3.27-3.56, 1 Nd 3.48, 2 Sm 3.56
11 In 0.5000 0.5000 0.0000  8 Sm 3.23-3.48
12 Sm 0.2503 0.9223 0.6546  7 In 3.27-3.56, 1 Nd 3.48, 2 Sm 3.56

[10]
Crystalline Nd9Sm4In11 at its relaxed geometry. Source: Alexandria via LeMat-Bulk, functional GGA-PBE.

- calculated total energy (eV/atom) = -4.243
- ΔE_f (eV per atom) = -0.41

a = 3.5775 Å, b = 14.0936 Å, c = 14.0936 Å
α = 99.56°, β = 90.00°, γ = 90.00°
With the nearest neighbours (Å) after each atom.
Atoms (fractional coordinates):
1 Nd 0.5000 0.5000 0.5000  4 Sm 3.33, 4 In 3.45, 2 Nd 3.58
2 In 0.0000 0.0659 0.4193  1 In 3.17, 2 Sm 3.28, 6 Nd 3.41-3.44
3 In 0.0000 0.8295 0.1705  8 Nd 3.32-3.38, 3 In 3.58-3.67
4 Nd 0.5000 0.7922 0.9690  8 In 3.32-3.44, 3 Nd 3.58-3.69
5 In 0.0000 0.0000 0.0000  8 Nd 3.40, 4 In 3.58-3.67
6 Sm 0.5000 0.7379 0.5700  6 In 3.26-3.52, 2 Nd 3.33-3.43, 3 Sm 3.58-3.61
7 In 0.0000 0.6370 0.3630  6 Nd 3.45-3.55, 4 Sm 3.52, 2 In 3.58
8 Nd 0.5000 0.6232 0.1432  8 In 3.38-3.55, 1 Sm 3.43, 3 Nd 3.58-3.69
9 Nd 0.5000 0.9690 0.7922  8 In 3.32-3.44, 3 Nd 3.58-3.69
10 Sm 0.5000 0.2621 0.4300  6 In 3.26-3.52, 2 Nd 3.33-3.43, 3 Sm 3.58-3.61
11 In 0.0000 0.4193 0.0659  1 In 3.17, 2 Sm 3.28, 6 Nd 3.41-3.44
12 Nd 0.5000 0.2078 0.0310  8 In 3.32-3.44, 3 Nd 3.58-3.69
13 In 0.0000 0.5807 0.9341  1 In 3.17, 2 Sm 3.28, 6 Nd 3.41-3.44
14 Nd 0.5000 0.1432 0.6232  8 In 3.38-3.55, 1 Sm 3.43, 3 Nd 3.58-3.69
15 In 0.0000 0.7661 0.7661  4 Sm 3.26, 4 Nd 3.34, 2 In 3.58
16 Sm 0.5000 0.5700 0.7379  6 In 3.26-3.52, 2 Nd 3.33-3.43, 3 Sm 3.58-3.61
17 Nd 0.5000 0.8568 0.3768  8 In 3.38-3.55, 1 Sm 3.43, 3 Nd 3.58-3.69
18 Nd 0.5000 0.3768 0.8568  8 In 3.38-3.55, 1 Sm 3.43, 3 Nd 3.58-3.69
19 Sm 0.5000 0.4300 0.2621  6 In 3.26-3.52, 2 Nd 3.33-3.43, 3 Sm 3.58-3.61
20 Nd 0.5000 0.0310 0.2078  8 In 3.32-3.44, 3 Nd 3.58-3.69
21 In 0.0000 0.9341 0.5807  1 In 3.17, 2 Sm 3.28, 6 Nd 3.41-3.44
22 In 0.0000 0.2339 0.2339  4 Sm 3.26, 4 Nd 3.34, 2 In 3.58
23 In 0.0000 0.3630 0.6370  6 Nd 3.45-3.55, 4 Sm 3.52, 2 In 3.58
24 In 0.0000 0.1705 0.8295  8 Nd 3.32-3.38, 3 In 3.58-3.67

[11]
Crystalline Nd6SmIn3 at its relaxed geometry. Source: Alexandria via LeMat-Bulk, functional GGA-PBE.

- calculated total energy (eV/atom) = -4.420
- ΔE_f (eV per atom) = -0.27
- excess energy over the best structure of this formula in the dataset (eV per atom) = 0.000

a = 5.2714 Å, b = 10.4759 Å, c = 11.4788 Å
α = 97.39°, β = 90.00°, γ = 90.00°
With the nearest neighbours (Å) after each atom.
Atoms (fractional coordinates):
1 In 0.2500 0.3553 0.8096  8 Nd 3.31-3.39
2 In 0.7500 0.2467 0.0230  10 Nd 3.35-3.74
3 Nd 0.7500 0.1778 0.7192  4 In 3.31-3.47, 1 Nd 3.51, 1 Sm 3.66
4 Nd 0.7500 0.5445 0.9033  7 In 3.33-3.57, 2 Nd 3.64
5 Nd 0.2500 0.8222 0.2808  4 In 3.31-3.47, 1 Nd 3.51, 1 Sm 3.66
6 In 0.2500 0.5463 0.3920  8 Nd 3.31-3.44
7 Nd 0.2500 0.6339 0.6918  5 In 3.31-3.44, 2 Nd 3.58, 1 Sm 3.66
8 In 0.2500 0.7533 0.9770  10 Nd 3.35-3.74
9 Nd 0.7500 0.9346 0.0904  4 In 3.38-3.46, 7 Nd 3.58-3.72, 1 Sm 3.68
10 Nd 0.2500 0.2753 0.5180  4 In 3.32-3.35, 1 Nd 3.50, 3 Sm 3.60-3.67
11 Sm 0.7500 0.0483 0.4076  10 Nd 3.60-3.71, 2 Sm 3.61
12 Nd 0.7500 0.7247 0.4820  4 In 3.32-3.35, 1 Nd 3.50, 3 Sm 3.60-3.67
13 Nd 0.2500 0.4555 0.0967  7 In 3.33-3.57, 2 Nd 3.64
14 Nd 0.2500 0.0654 0.9096  4 In 3.38-3.46, 7 Nd 3.58-3.72, 1 Sm 3.68
15 Nd 0.7500 0.8571 0.7777  8 Nd 3.50-3.74, 2 Sm 3.61, 2 In 3.74
16 Sm 0.2500 0.9517 0.5924  10 Nd 3.60-3.71, 2 Sm 3.61
17 In 0.7500 0.4537 0.6080  8 Nd 3.31-3.44
18 Nd 0.2500 0.1429 0.2223  8 Nd 3.50-3.74, 2 Sm 3.61, 2 In 3.74
19 Nd 0.7500 0.3661 0.3082  5 In 3.31-3.44, 2 Nd 3.58, 1 Sm 3.66
20 In 0.7500 0.6447 0.1904  8 Nd 3.31-3.39

[12]
Crystalline Nd3Sm5In at its relaxed geometry. Source: Alexandria via LeMat-Bulk, functional GGA-PBE.

- calculated total energy (eV/atom) = -4.160
- ΔE_f (eV per atom) = 0.35

a = 7.7335 Å, b = 7.7335 Å, c = 11.4005 Å
α = 89.98°, β = 89.98°, γ = 99.27°
With the nearest neighbours (Å) after each atom.
Atoms (fractional coordinates):
1 Sm 0.6770 0.6770 0.9979  1 In 3.23, 2 Nd 3.23-3.24, 5 Sm 3.25-3.55
2 Sm 0.2540 0.7460 0.0000  1 Nd 2.99
3 Sm 0.4677 0.9737 0.6873  1 In 3.07, 1 Nd 3.33
4 In 0.1626 0.1626 0.7566  4 Sm 3.07-3.31, 4 Nd 3.18-3.38
5 Sm 0.3230 0.3230 0.0021  1 In 3.23, 2 Nd 3.23-3.24, 5 Sm 3.25-3.55
6 Nd 0.8457 0.8457 0.7564  1 In 3.18, 3 Nd 3.18-3.43, 4 Sm 3.23-3.53
7 In 0.8374 0.8374 0.2434  4 Sm 3.07-3.31, 4 Nd 3.18-3.38
8 Sm 0.4931 0.4931 0.7596  2 Sm 3.25-3.28, 1 In 3.31, 3 Nd 3.36-3.53
9 Sm 0.9737 0.4677 0.6873  1 In 3.07, 1 Nd 3.33
10 Sm 0.0263 0.5323 0.3127  1 In 3.07, 1 Nd 3.33
11 Nd 0.6666 0.6666 0.4996  3 Nd 3.34-3.43, 4 Sm 3.36-3.71, 1 In 3.38
12 Nd 0.3334 0.3334 0.5004  3 Nd 3.34-3.43, 4 Sm 3.36-3.71, 1 In 3.38
13 Sm 0.7460 0.2540 0.0000  1 Nd 2.99
14 Sm 0.5069 0.5069 0.2404  2 Sm 3.25-3.28, 1 In 3.31, 3 Nd 3.36-3.53
15 Nd 0.0000 0.0000 0.5000  4 Nd 3.31-3.34, 2 In 3.35
16 Nd 0.1543 0.1543 0.2436  1 In 3.18, 3 Nd 3.18-3.43, 4 Sm 3.23-3.53
17 Nd 0.0000 0.0000 0.0000  4 Sm 2.99-3.24, 2 Nd 3.18, 2 In 3.22
18 Sm 0.5323 0.0263 0.3127  1 In 3.07, 1 Nd 3.33